1.
# SmDyHoEr GGA-PBE optimized geometry
data_SmDyHoEr
_chemical_formula_sum 'Sm4 Dy4 Ho4 Er4'
_space_group_name_H-M_alt 'F -4 3 m'
_space_group_IT_number 216
_space_group_name_Hall 'F -4 2 3'
_cell_length_a 8.006
_cell_length_b 8.006
_cell_length_c 8.006
_cell_angle_alpha 90.00
_cell_angle_beta 90.00
_cell_angle_gamma 90.00
loop_
_atom_site_label
_atom_site_type_symbol
_atom_site_fract_x
_atom_site_fract_y
_atom_site_fract_z
Sm1 Sm 0.000 0.000 0.000
Dy1 Dy 0.000 0.000 0.500
Ho1 Ho 0.250 0.250 0.750
Er1 Er 0.250 0.250 0.250
# **ΔE to the lowest computed polymorph**: 0 meV/atom
# **Calculated formation energy**: 0.134 eV/atom

***

2.
# PuVTcRu GGA-PBE optimized geometry
data_PuVTcRu
_chemical_formula_sum 'Pu4 V4 Tc4 Ru4'
_space_group_name_H-M_alt 'F -4 3 m'
_space_group_IT_number 216
_space_group_name_Hall 'F -4 2 3'
_cell_length_a 6.382
_cell_length_b 6.382
_cell_length_c 6.382
_cell_angle_alpha 90.00
_cell_angle_beta 90.00
_cell_angle_gamma 90.00
loop_
_atom_site_label
_atom_site_type_symbol
_atom_site_fract_x
_atom_site_fract_y
_atom_site_fract_z
Pu1 Pu 0.000 0.000 0.000
V1 V 0.000 0.000 0.500
Tc1 Tc 0.250 0.250 0.250
Ru1 Ru 0.250 0.250 0.750
# **Calculated formation energy**: -0.034 eV/atom